No. 1
Computed, not measured: a PBEsol-optimized structure of Ba2NdCu3O6 at the SCAN level of DFT.

Cell: 3.869 3.869 11.899 Å, 90.00 90.00 90.00°
Atoms (fractional coordinates):
Ba  0.000  0.000  0.194
Ba  0.000  0.000  0.806
Nd  0.000  0.000  0.500
Cu  0.500  0.500  0.000
Cu  0.500  0.500  0.361
Cu  0.500  0.500  0.639
O  0.000  0.500  0.372
O  0.000  0.500  0.628
O  0.500  0.000  0.372
O  0.500  0.000  0.628
O  0.500  0.500  0.150
O  0.500  0.500  0.850

Results
**VASP energy**: -230.785 eV for the cell shown
**Formation energy (no corrections)**: -25.1 eV/f.u.



No. 2
Computed, not measured: a PBEsol-optimized structure of Tb2ZrSe5 at the SCAN level of DFT.

Cell: 11.979 8.012 7.516 Å, 90.00 90.00 90.00°
Atoms (fractional coordinates):
Tb  0.179  0.004  0.025
Tb  0.179  0.496  0.025
Tb  0.321  0.504  0.525
Tb  0.321  0.996  0.525
Tb  0.679  0.004  0.475
Tb  0.679  0.496  0.475
Tb  0.821  0.504  0.975
Tb  0.821  0.996  0.975
Zr  0.007  0.750  0.581
Zr  0.493  0.250  0.081
Zr  0.507  0.750  0.919
Zr  0.993  0.250  0.419
Se  0.003  0.750  0.952
Se  0.094  0.040  0.663
Se  0.094  0.460  0.663
Se  0.181  0.750  0.330
Se  0.210  0.250  0.310
Se  0.290  0.750  0.810
Se  0.319  0.250  0.830
Se  0.406  0.540  0.163
Se  0.406  0.960  0.163
Se  0.497  0.250  0.452
Se  0.503  0.750  0.548
Se  0.594  0.040  0.837
Se  0.594  0.460  0.837
Se  0.681  0.750  0.170
Se  0.710  0.250  0.190
Se  0.790  0.750  0.690
Se  0.819  0.250  0.670
Se  0.906  0.540  0.337
Se  0.906  0.960  0.337
Se  0.997  0.250  0.048

Results
**VASP energy**: -958.426 eV for the cell shown
**Formation energy (no corrections)**: -15.0 eV/f.u.



No. 3
Computed, not measured: a PBEsol-optimized structure of MgTiZn2Os at the SCAN level of DFT.

Cell: 4.577 4.577 4.852 Å, 90.00 90.00 90.00°
Atoms (fractional coordinates):
Mg  0.000  0.000  0.000
Ti  0.000  0.000  0.500
Zn  0.000  0.500  0.500
Zn  0.500  0.000  0.500
Os  0.500  0.500  0.000

Results
**Energy of formation from the pure elements**: 1872 meV/atom
**VASP energy**: -110.554 eV for the cell shown



No. 4
Computed, not measured: a PBEsol-optimized structure of Li2ZnAs at the SCAN level of DFT.

Cell: 2.973 2.973 8.855 Å, 90.09 90.09 59.98°
Atoms (fractional coordinates):
Li  0.000  0.000  0.000
Li  0.665  0.665  0.704
Zn  0.997  0.997  0.476
As  0.666  0.666  0.229

Results
**Energy of formation from the pure elements**: -90 meV/atom
**VASP energy**: -38.844 eV for the cell shown
**Polymorph energy (0 for the lowest one)**: 316 meV/atom



No. 5
Computed, not measured: a PBEsol-optimized structure of CrSiIr at the SCAN level of DFT.

Cell: 4.415 4.415 4.415 Å, 144.45 130.71 62.23°
Atoms (fractional coordinates):
Cr  0.000  0.000  0.000
Si  0.336  0.336  0.000
Ir  0.668  0.668  0.000

Results
**VASP energy**: -100.358 eV for the cell shown
**Formation energy (no corrections)**: -0.9 eV/f.u.



No. 6
Computed, not measured: a PBEsol-optimized structure of Al4Ni3Pt at the SCAN level of DFT.

Cell: 2.882 2.882 11.904 Å, 90.00 90.00 90.00°
Atoms (fractional coordinates):
Al  0.000  0.000  0.120
Al  0.000  0.000  0.358
Al  0.000  0.000  0.642
Al  0.000  0.000  0.880
Ni  0.500  0.500  0.000
Ni  0.500  0.500  0.239
Ni  0.500  0.500  0.761
Pt  0.500  0.500  0.500

Results
**Energy of formation from the pure elements**: -868 meV/atom
**VASP energy**: -156.668 eV for the cell shown



No. 7
Computed, not measured: a PBEsol-optimized structure of CdMoOs2 at the SCAN level of DFT.

Cell: 2.776 3.863 5.793 Å, 90.00 90.00 90.00°
Atoms (fractional coordinates):
Cd  0.000  0.000  0.000
Mo  0.000  0.000  0.500
Os  0.500  0.500  0.275
Os  0.500  0.500  0.725

Results
**Energy of formation from the pure elements**: 435 meV/atom
**VASP energy**: -207.321 eV for the cell shown



No. 8
Computed, not measured: a PBEsol-optimized structure of La2MgTl at the SCAN level of DFT.

Cell: 5.771 5.771 3.626 Å, 90.00 90.00 103.54°
Atoms (fractional coordinates):
La  0.000  0.500  0.000
La  0.500  0.000  0.000
Mg  0.000  0.000  0.500
Tl  0.500  0.500  0.500

Results
**Energy of formation from the pure elements**: -384 meV/atom
**VASP energy**: -165.080 eV for the cell shown
**Polymorph energy (0 for the lowest one)**: 27 meV/atom



No. 9
Computed, not measured: a PBEsol-optimized structure of Ba2Mg at the SCAN level of DFT.

Cell: 7.868 6.052 11.281 Å, 90.00 90.00 90.00°
Atoms (fractional coordinates):
Ba  0.040  0.250  0.207
Ba  0.178  0.250  0.567
Ba  0.322  0.750  0.067
Ba  0.460  0.750  0.707
Ba  0.540  0.250  0.293
Ba  0.678  0.250  0.933
Ba  0.822  0.750  0.433
Ba  0.960  0.750  0.793
Mg  0.203  0.250  0.894
Mg  0.297  0.750  0.394
Mg  0.703  0.250  0.606
Mg  0.797  0.750  0.106

Results
**Energy of formation from the pure elements**: -14 meV/atom
**VASP energy**: -336.464 eV for the cell shown



No. 10
Computed, not measured: a PBEsol-optimized structure of BaHfZn3 at the SCAN level of DFT.

Cell: 5.264 5.264 5.264 Å, 90.00 90.00 90.00°
Atoms (fractional coordinates):
Ba  0.000  0.000  0.000
Hf  0.500  0.500  0.500
Zn  0.000  0.000  0.500
Zn  0.000  0.500  0.000
Zn  0.500  0.000  0.000

Results
**Energy of formation from the pure elements**: 1632 meV/atom
**VASP energy**: -134.609 eV for the cell shown



No. 11
Computed, not measured: a PBEsol-optimized structure of LiTl2Co at the SCAN level of DFT.

Cell: 3.542 3.542 5.769 Å, 90.00 90.00 90.00°
Atoms (fractional coordinates):
Li  0.000  0.000  0.000
Tl  0.000  0.000  0.563
Tl  0.500  0.500  0.213
Co  0.500  0.500  0.748

Results
**Energy of formation from the pure elements**: 185 meV/atom
**VASP energy**: -163.671 eV for the cell shown



No. 12
Computed, not measured: a PBEsol-optimized structure of LaV2IO9 at the SCAN level of DFT.

Cell: 7.029 14.588 7.243 Å, 90.00 90.00 90.00°
Atoms (fractional coordinates):
La  0.149  0.046  0.250
La  0.149  0.454  0.750
La  0.851  0.546  0.250
La  0.851  0.954  0.750
V  0.179  0.729  0.750
V  0.179  0.771  0.250
V  0.468  0.250  0.000
V  0.468  0.250  0.500
V  0.532  0.750  0.000
V  0.532  0.750  0.500
V  0.821  0.229  0.750
V  0.821  0.271  0.250
I  0.296  0.060  0.750
I  0.296  0.440  0.250
I  0.704  0.560  0.750
I  0.704  0.940  0.250
O  0.009  0.693  0.250
O  0.009  0.807  0.750
O  0.076  0.627  0.750
O  0.076  0.873  0.250
O  0.175  0.509  0.071
O  0.175  0.509  0.429
O  0.175  0.991  0.571
O  0.175  0.991  0.929
O  0.257  0.750  0.000
O  0.257  0.750  0.500
O  0.334  0.158  0.040
O  0.334  0.158  0.460
O  0.334  0.342  0.540
O  0.334  0.342  0.960
O  0.466  0.723  0.750
O  0.466  0.777  0.250
O  0.473  0.507  0.750
O  0.473  0.993  0.250
O  0.527  0.007  0.750
O  0.527  0.493  0.250
O  0.534  0.223  0.750
O  0.534  0.277  0.250
O  0.666  0.658  0.040
O  0.666  0.658  0.460
O  0.666  0.842  0.540
O  0.666  0.842  0.960
O  0.743  0.250  0.000
O  0.743  0.250  0.500
O  0.825  0.009  0.071
O  0.825  0.009  0.429
O  0.825  0.491  0.571
O  0.825  0.491  0.929
O  0.924  0.127  0.750
O  0.924  0.373  0.250
O  0.991  0.193  0.250
O  0.991  0.307  0.750

Results
**VASP energy**: -803.048 eV for the cell shown
**Formation energy (no corrections)**: -29.9 eV/f.u.



No. 13
Computed, not measured: a PBEsol-optimized structure of HPtN2 at the SCAN level of DFT.

Cell: 4.720 4.720 4.720 Å, 39.19 39.19 39.19°
Atoms (fractional coordinates):
H  0.000  0.000  0.000
Pt  0.500  0.500  0.500
N  0.096  0.096  0.096
N  0.904  0.904  0.904

Results
**VASP energy**: -90.082 eV for the cell shown



No. 14
Computed, not measured: a PBEsol-optimized structure of Ta2In2Rh at the SCAN level of DFT.

Cell: 7.783 7.783 7.783 Å, 152.84 152.84 38.78°
Atoms (fractional coordinates):
Ta  0.250  0.750  0.500
Ta  0.750  0.250  0.500
In  0.091  0.091  0.000
In  0.909  0.909  0.000
Rh  0.500  0.500  0.000

Results
**Energy of formation from the pure elements**: 501 meV/atom
**VASP energy**: -231.206 eV for the cell shown



No. 15
Computed, not measured: a PBEsol-optimized structure of CsMgBi3 at the SCAN level of DFT.

Cell: 5.649 5.649 5.649 Å, 90.00 90.00 90.00°
Atoms (fractional coordinates):
Cs  0.000  0.000  0.000
Mg  0.500  0.500  0.500
Bi  0.000  0.500  0.500
Bi  0.500  0.000  0.500
Bi  0.500  0.500  0.000

Results
**Energy of formation from the pure elements**: 17 meV/atom
**VASP energy**: -278.439 eV for the cell shown



No. 16
Computed, not measured: a PBEsol-optimized structure of ZnCd2As at the SCAN level of DFT.

Cell: 5.297 5.297 5.297 Å, 133.59 133.59 67.74°
Atoms (fractional coordinates):
Zn  0.000  0.000  0.000
Cd  0.250  0.750  0.500
Cd  0.500  0.500  0.000
As  0.750  0.250  0.500

Results
**Energy of formation from the pure elements**: 168 meV/atom
**VASP energy**: -93.863 eV for the cell shown
**Polymorph energy (0 for the lowest one)**: 2 meV/atom



No. 17
Computed, not measured: a PBEsol-optimized structure of SrTeOs2 at the SCAN level of DFT.

Cell: 2.955 3.740 7.701 Å, 90.00 90.00 90.00°
Atoms (fractional coordinates):
Sr  0.000  0.000  0.000
Te  0.500  0.500  0.321
Os  0.000  0.000  0.583
Os  0.500  0.500  0.712

Results
**VASP energy**: -201.535 eV for the cell shown
**Formation energy (no corrections)**: 1.8 eV/f.u.



No. 18
Computed, not measured: a PBEsol-optimized structure of MnCuCl2 at the SCAN level of DFT.

Cell: 3.142 3.142 6.147 Å, 90.00 90.00 90.00°
Atoms (fractional coordinates):
Mn  0.000  0.000  0.000
Cu  0.000  0.000  0.500
Cl  0.500  0.500  0.244
Cl  0.500  0.500  0.756

Results
**VASP energy**: -50.328 eV for the cell shown
**Polymorph energy (0 for the lowest one)**: 279 meV/atom
**Formation energy (no corrections)**: -0.9 eV/f.u.



No. 19
Computed, not measured: a PBEsol-optimized structure of Ti3FeS at the SCAN level of DFT.

Cell: 4.399 4.399 4.399 Å, 90.00 90.00 90.00°
Atoms (fractional coordinates):
Ti  0.000  0.000  0.500
Ti  0.000  0.500  0.000
Ti  0.500  0.000  0.000
Fe  0.000  0.000  0.000
S  0.500  0.500  0.500

Results
**VASP energy**: -74.865 eV for the cell shown
**Formation energy (no corrections)**: 1.0 eV/f.u.



No. 20
Computed, not measured: a PBEsol-optimized structure of CrCl2 at the SCAN level of DFT.

Cell: 5.879 5.997 3.557 Å, 90.00 90.00 90.00°
Atoms (fractional coordinates):
Cr  0.000  0.000  0.000
Cr  0.500  0.500  0.500
Cl  0.203  0.183  0.500
Cl  0.297  0.683  0.000
Cl  0.703  0.317  0.000
Cl  0.797  0.817  0.500

Results
**VASP energy**: -76.691 eV for the cell shown
**Polymorph energy (0 for the lowest one)**: 9 meV/atom
**Formation energy (no corrections)**: -4.0 eV/f.u.



No. 21
Computed, not measured: a PBEsol-optimized structure of YBr at the SCAN level of DFT.

Cell: 3.702 3.702 8.126 Å, 90.00 90.00 90.00°
Atoms (fractional coordinates):
Y  0.250  0.250  0.147
Y  0.750  0.750  0.853
Br  0.250  0.250  0.675
Br  0.750  0.750  0.325

Results
**VASP energy**: -99.988 eV for the cell shown
**Formation energy (no corrections)**: -2.7 eV/f.u.



No. 22
Computed, not measured: a PBEsol-optimized structure of Sr3Li at the SCAN level of DFT.

Cell: 4.118 4.118 12.388 Å, 90.00 90.00 120.00°
Atoms (fractional coordinates):
Sr  0.000  0.000  0.000
Sr  0.333  0.667  0.279
Sr  0.333  0.667  0.721
Li  0.000  0.000  0.500

Results
**Energy of formation from the pure elements**: 71 meV/atom
**VASP energy**: -68.932 eV for the cell shown
**Polymorph energy (0 for the lowest one)**: 42 meV/atom



No. 23
Computed, not measured: a PBEsol-optimized structure of CaTe2Cl at the SCAN level of DFT.

Cell: 6.123 6.123 6.123 Å, 144.26 119.76 72.07°
Atoms (fractional coordinates):
Ca  0.000  0.000  0.000
Te  0.469  0.469  0.000
Te  0.696  0.196  0.500
Cl  0.179  0.679  0.500

Results
**VASP energy**: -96.059 eV for the cell shown
**Formation energy (no corrections)**: -3.9 eV/f.u.



No. 24
Computed, not measured: a PBEsol-optimized structure of SrTl at the SCAN level of DFT.

Cell: 5.664 4.023 5.667 Å, 90.00 90.00 90.00°
Atoms (fractional coordinates):
Sr  0.250  0.000  0.247
Sr  0.750  0.000  0.753
Tl  0.250  0.500  0.744
Tl  0.750  0.500  0.256

Results
**Energy of formation from the pure elements**: -623 meV/atom
**VASP energy**: -191.758 eV for the cell shown